[1]
Below is a geometry-optimized PrZr2PbO6 structure, with properties calculated at the PBE level.

The calculated volume comes out at 142.02 Å³ per cell. The raw total energy is -0.6072 Ry per atom. The total magnetization is 0.640 μB per formula unit.

a = 4.088 Å, b = 4.088 Å, c = 8.498 Å
α = 90.00°, β = 90.00°, γ = 90.00°
Space group P4/mmm (No. 123)
Symmetry-distinct sites (fractional):
1 Pr 0.000 0.000 0.000 [1 per cell]
2 Zr 0.500 0.500 0.248 [2 per cell]
3 Pb 0.000 0.000 0.500 [1 per cell]
4 O 0.000 0.500 0.203 [4 per cell]
5 O 0.500 0.500 0.000 [1 per cell]
6 O 0.500 0.500 0.500 [1 per cell]

---

[2]
Below is a geometry-optimized PtPb2O3 structure, with properties calculated at the PBE level.

The calculated volume comes out at 192.10 Å³ per cell. The raw total energy is -0.3986 Ry per atom. The total magnetization is 0.005 μB per formula unit.

a = 3.631 Å, b = 4.056 Å, c = 13.045 Å
α = 90.00°, β = 90.00°, γ = 90.00°
Space group Immm (No. 71)
Symmetry-distinct sites (fractional):
1 Pt 0.000 0.000 0.000 [2 per cell]
2 Pb 0.000 0.000 0.352 [4 per cell]
3 O 0.000 0.000 0.159 [4 per cell]
4 O 0.000 0.500 0.000 [2 per cell]

---

[3]
Below is a geometry-optimized PtPb2O4 structure, with properties calculated at the PBE level.

The calculated volume comes out at 453.21 Å³ per cell. The raw total energy is -0.4138 Ry per atom. The total magnetization is 0.002 μB per formula unit.

a = 7.743 Å, b = 9.191 Å, c = 6.369 Å
α = 90.00°, β = 90.00°, γ = 90.00°
Space group Pbam (No. 55)
Symmetry-distinct sites (fractional):
1 Pt 0.000 0.000 0.249 [4 per cell]
2 Pb 0.095 0.327 0.500 [4 per cell]
3 Pb 0.129 0.658 0.000 [4 per cell]
4 O 0.114 0.898 0.500 [4 per cell]
5 O 0.133 0.913 0.000 [4 per cell]
6 O 0.169 0.169 0.250 [8 per cell]

---

[4]
Below is a geometry-optimized PtPb3O6 structure, with properties calculated at the PBE level.

The calculated volume comes out at 563.82 Å³ per cell. The raw total energy is -0.3926 Ry per atom. The total magnetization is 0.266 μB per formula unit.

a = 8.261 Å, b = 8.261 Å, c = 8.261 Å
α = 90.00°, β = 90.00°, γ = 90.00°
Space group Fm-3m (No. 225)
Symmetry-distinct sites (fractional):
1 Pt 0.000 0.000 0.000 [4 per cell]
2 Pb 0.000 0.000 0.500 [4 per cell]
3 Pb 0.250 0.250 0.250 [8 per cell]
4 O 0.000 0.000 0.241 [24 per cell]

---

[5]
Below is a geometry-optimized Pt3Pb2O8 structure, with properties calculated at the PBE level.

The calculated volume comes out at 381.29 Å³ per cell. The raw total energy is -0.4210 Ry per atom. The total magnetization is 0.002 μB per formula unit.

a = 11.905 Å, b = 6.303 Å, c = 5.434 Å
α = 90.00°, β = 110.75°, γ = 90.00°
Space group C2/m (No. 12)
Symmetry-distinct sites (fractional):
1 Pt 0.000 0.000 0.000 [2 per cell]
2 Pt 0.000 0.251 0.500 [4 per cell]
3 Pb 0.205 0.500 0.158 [4 per cell]
4 O 0.089 0.000 0.402 [4 per cell]
5 O 0.096 0.500 0.445 [4 per cell]
6 O 0.099 0.224 0.892 [8 per cell]

---

[6]
Below is a geometry-optimized PtPbO4 structure, with properties calculated at the PBE level.

The calculated volume comes out at 150.81 Å³ per cell. The raw total energy is -0.3985 Ry per atom. The total magnetization is 0.000 μB per formula unit.

a = 3.575 Å, b = 6.187 Å, c = 7.142 Å
α = 77.49°, β = 78.10°, γ = 89.00°
Space group P1 (No. 1)
Symmetry-distinct sites (fractional):
1 Pt 0.000 0.000 0.000 [1 per cell]
2 Pt 0.348 0.716 0.436 [1 per cell]
3 Pb 0.566 0.503 0.938 [1 per cell]
4 Pb 0.847 0.220 0.460 [1 per cell]
5 O 0.063 0.727 0.887 [1 per cell]
6 O 0.323 0.995 0.530 [1 per cell]
7 O 0.391 0.445 0.330 [1 per cell]
8 O 0.478 0.909 0.055 [1 per cell]
9 O 0.762 0.584 0.588 [1 per cell]
10 O 0.902 0.839 0.295 [1 per cell]
11 O 0.926 0.224 0.771 [1 per cell]
12 O 0.998 0.273 0.103 [1 per cell]

---

[7]
Below is a geometry-optimized PtPbSeO structure, with properties calculated at the PBE level.

The calculated volume comes out at 368.55 Å³ per cell. The raw total energy is -0.3567 Ry per atom. The energy above the most stable polymorph in this dataset comes out at 104 meV per atom. The total magnetization is 0.000 μB per formula unit.

a = 5.218 Å, b = 7.605 Å, c = 9.286 Å
α = 90.00°, β = 90.00°, γ = 90.00°
Space group P2_12_12_1 (No. 19)
Symmetry-distinct sites (fractional):
1 Pt 0.128 0.216 0.475 [4 per cell]
2 Pb 0.197 0.119 0.910 [4 per cell]
3 Se 0.209 0.636 0.187 [4 per cell]
4 O 0.201 0.705 0.580 [4 per cell]

---

[8]
Below is a geometry-optimized PtPbSeO structure, with properties calculated at the PBE level.

The calculated volume comes out at 166.30 Å³ per cell. The raw total energy is -0.3644 Ry per atom. The energy above the most stable polymorph in this dataset comes out at 0 meV per atom. The total magnetization is 0.014 μB per formula unit.

a = 3.779 Å, b = 3.779 Å, c = 11.647 Å
α = 90.00°, β = 90.00°, γ = 90.00°
Space group P4/nmm (No. 129, origin choice 2)
Symmetry-distinct sites (fractional):
1 Pt 0.250 0.750 0.000 [2 per cell]
2 Pb 0.250 0.250 0.387 [2 per cell]
3 Se 0.250 0.250 0.849 [2 per cell]
4 O 0.250 0.250 0.577 [2 per cell]

---

[9]
Below is a geometry-optimized PtPbSeO structure, with properties calculated at the PBE level.

The calculated volume comes out at 158.34 Å³ per cell. The raw total energy is -0.3519 Ry per atom. The energy above the most stable polymorph in this dataset comes out at 169 meV per atom. The total magnetization is 0.005 μB per formula unit.

a = 4.195 Å, b = 4.195 Å, c = 8.997 Å
α = 90.00°, β = 90.00°, γ = 90.00°
Space group P4/nmm (No. 129, origin choice 2)
Symmetry-distinct sites (fractional):
1 Pt 0.250 0.250 0.167 [2 per cell]
2 Pb 0.250 0.250 0.650 [2 per cell]
3 Se 0.250 0.750 0.000 [2 per cell]
4 O 0.250 0.250 0.403 [2 per cell]

---

[10]
Below is a geometry-optimized PtPbSeO structure, with properties calculated at the PBE level.

The calculated volume comes out at 312.34 Å³ per cell. The raw total energy is -0.3635 Ry per atom. The energy above the most stable polymorph in this dataset comes out at 12 meV per atom. The total magnetization is 0.001 μB per formula unit.

a = 6.689 Å, b = 8.335 Å, c = 5.602 Å
α = 90.00°, β = 90.00°, γ = 90.00°
Space group Pca2_1 (No. 29)
Symmetry-distinct sites (fractional):
1 Pt 0.135 0.187 0.000 [4 per cell]
2 Pb 0.058 0.650 0.979 [4 per cell]
3 Se 0.159 0.978 0.678 [4 per cell]
4 O 0.056 0.609 0.533 [4 per cell]

---

[11]
Below is a geometry-optimized PtPbSeO structure, with properties calculated at the PBE level.

The calculated volume comes out at 168.65 Å³ per cell. The raw total energy is -0.3282 Ry per atom. The energy above the most stable polymorph in this dataset comes out at 493 meV per atom. The total magnetization is 0.024 μB per formula unit.

a = 4.587 Å, b = 4.587 Å, c = 8.016 Å
α = 90.00°, β = 90.00°, γ = 90.00°
Space group P4/nmm (No. 129, origin choice 2)
Symmetry-distinct sites (fractional):
1 Pt 0.250 0.250 0.213 [2 per cell]
2 Pb 0.250 0.750 0.000 [2 per cell]
3 Se 0.250 0.250 0.690 [2 per cell]
4 O 0.250 0.250 0.477 [2 per cell]

---

[12]
Below is a geometry-optimized PtPbSeO structure, with properties calculated at the PBE level.

The calculated volume comes out at 319.66 Å³ per cell. The raw total energy is -0.3553 Ry per atom. The energy above the most stable polymorph in this dataset comes out at 123 meV per atom. The total magnetization is 0.003 μB per formula unit.

a = 5.976 Å, b = 8.968 Å, c = 5.964 Å
α = 90.00°, β = 90.00°, γ = 90.00°
Space group Pca2_1 (No. 29)
Symmetry-distinct sites (fractional):
1 Pt 0.217 0.137 0.000 [4 per cell]
2 Pb 0.116 0.760 0.878 [4 per cell]
3 Se 0.036 0.378 0.956 [4 per cell]
4 O 0.136 0.931 0.556 [4 per cell]